VASP calculation (PBE-GGA) on a geometry-optimized Ac2NdErTe5 structure.

* V: 354 Å³/cell
* SG: No. 123
* uncorrected formation energy: -1.04 eV/atom
* DOS at the Fermi energy: 6.9 states/eV/cell
* total DFT energy (no corrections): -4.734 eV per atom

abc: 5.471 5.471 11.820
angles: 90.00 90.00 90.00
Sites, in units of the cell vectors:
1 Ac 0.000 0.000 0.200
2 Ac 0.000 0.000 0.800
3 Nd 0.500 0.500 0.500
4 Er 0.500 0.500 0.000
5 Te 0.000 0.000 0.500
6 Te 0.000 0.500 0.000
7 Te 0.500 0.000 0.000
8 Te 0.500 0.500 0.250
9 Te 0.500 0.500 0.750